Li5Ag2Sn4 after structural relaxation. Source: Alexandria, functional PBE.

abc: 7.5690 17.6413 3.1991
angles: 90.00 90.00 90.00
Closest atoms and distances in Å follow each position.
Space group Pbam (No. 55)
Asymmetric unit:
Li (0.0000, 0.0000, 0.0000) x2  4 Li 2.93-3.20, 8 Sn 3.09-3.20
Li (0.1535, 0.4260, 0.0000) x4  2 Ag 2.76, 6 Sn 2.91-3.02, 1 Li 2.93
Li (0.2464, 0.2094, 0.0000) x4  4 Ag 2.79-2.80, 4 Sn 3.07-3.08
Ag (0.0475, 0.3070, 0.5000) x4  6 Li 2.76-2.80, 3 Sn 2.86-2.94
Sn (0.0752, 0.8465, 0.5000) x4  2 Ag 2.86-2.94, 8 Li 2.96-3.20, 2 Sn 3.20
Sn (0.1833, 0.5632, 0.5000) x4  1 Ag 2.88, 8 Li 2.91-3.09, 2 Sn 3.20

Output
DFT formation energy, meV/atom: -308
Offset from the most stable computed form, meV/atom: 0
Energy, eV/atom: -3.15

---

Li2Ag3Sn2 after structural relaxation. Source: Alexandria, functional PBE.

abc: 12.1142 4.7445 4.9893
angles: 90.00 104.89 90.00
Closest atoms and distances in Å follow each position.
Space group C2/m (No. 12)
Asymmetric unit:
Li (0.1292, 0.0000, 0.1044) x4  6 Ag 2.81-3.02, 3 Sn 2.92-3.05, 1 Li 3.03
Ag (0.0000, 0.0000, 0.5000) x2  4 Li 2.82-3.02, 4 Sn 2.86, 2 Ag 2.96
Ag (0.2475, 0.5000, 0.3354) x4  4 Li 2.81-2.95, 3 Ag 2.88-2.96, 4 Sn 2.94-3.03
Sn (0.1108, 0.5000, 0.7561) x4  6 Ag 2.86-3.03, 3 Li 2.92-3.05, 1 Sn 3.20

Output
DFT formation energy, meV/atom: -158
Offset from the most stable computed form, meV/atom: 2
Energy, eV/atom: -3.07

---

LiAgSn after structural relaxation. Source: Alexandria, functional PBE.

abc: 6.4381 6.4381 6.4381
angles: 90.00 90.00 90.00
Closest atoms and distances in Å follow each position.
Space group F-43m (No. 216)
Asymmetric unit:
Li (0.0000, 0.0000, 0.0000) x4  4 Ag 2.79
Ag (0.2500, 0.2500, 0.2500) x4  4 Sn 2.79, 4 Li 2.79
Sn (0.0000, 0.0000, 0.5000) x4  4 Ag 2.79

Output
DFT formation energy, meV/atom: -136
Energy, eV/atom: -3.06

---

Li6Ag2Sn after structural relaxation. Source: Alexandria, functional PBE.

abc: 8.5505 8.5589 4.3479
angles: 90.00 90.00 90.00
Closest atoms and distances in Å follow each position.
Space group Pnnm (No. 58)
Asymmetric unit:
Li (0.0019, 0.1744, 0.0000) x4  1 Sn 2.79, 3 Ag 2.81-2.94, 8 Li 2.87-3.03
Li (0.1663, 0.3355, 0.5000) x4  4 Ag 2.87-2.95, 6 Li 2.87-2.93, 2 Sn 2.95
Li (0.1740, 0.9994, 0.5000) x4  1 Sn 2.79, 3 Ag 2.81-2.95, 8 Li 2.88-3.03
Ag (0.1689, 0.6705, 0.5000) x4  10 Li 2.81-2.95, 2 Sn 2.99
Sn (0.0000, 0.5000, 0.0000) x2  8 Li 2.79-2.95, 4 Ag 2.99

Output
DFT formation energy, meV/atom: -206
Offset from the most stable computed form, meV/atom: 58
Energy, eV/atom: -2.56

---

Li6AgSn2 after structural relaxation. Source: Alexandria, functional PBE.

abc: 7.4041 7.9789 5.4221
angles: 90.00 96.85 90.00
Closest atoms and distances in Å follow each position.
Space group C2/m (No. 12)
Asymmetric unit:
Li (0.0000, 0.1692, 0.0000) x4  5 Li 2.64-2.88
Li (0.1654, 0.3346, 0.6696) x8  5 Li 2.64-2.88
Ag (0.0000, 0.0000, 0.5000) x2  2 Sn 2.78, 12 Li 3.03-3.04
Sn (0.1788, 0.5000, 0.1771) x4  1 Ag 2.78, 12 Li 2.99-3.07, 1 Sn 3.08

Output
DFT formation energy, meV/atom: -343
Offset from the most stable computed form, meV/atom: 0
Energy, eV/atom: -2.83

---

LiAg12Sn6 after structural relaxation. Source: Alexandria, functional PBE.

abc: 11.9103 11.9103 9.5455
angles: 90.00 90.00 120.00
Closest atoms and distances in Å follow each position.
Space group R-3 (No. 148, hexagonal axes)
Asymmetric unit:
Li (0.0000, 0.0000, 0.0000) x3  6 Ag 2.91, 6 Sn 3.09
Ag (0.0143, 0.7634, 0.0146) x18  5 Ag 2.90-3.00, 1 Li 2.91, 4 Sn 2.92-3.04
Ag (0.0674, 0.5663, 0.1211) x18  6 Ag 2.81-3.00, 3 Sn 2.89-3.09
Sn (0.0682, 0.8905, 0.7412) x18  8 Ag 2.89-3.22, 1 Li 3.09, 2 Sn 3.20

Output
DFT formation energy, meV/atom: -6
Offset from the most stable computed form, meV/atom: 0
Energy, eV/atom: -3.17